[1]
Density functional theory data (meta-GGA SCAN) for a PBEsol-optimized structure of MnZnN2.

POSCAR file:
```
MnZnN2
1.0
5.342 0.000 0.000
0.000 6.155 0.000
0.000 0.000 5.161
Mn Zn N
4 4 8
direct
0.071 0.123 0.000
0.429 0.623 0.500
0.571 0.377 0.000
0.929 0.877 0.500
0.087 0.619 0.007
0.413 0.119 0.507
0.587 0.881 0.007
0.913 0.381 0.507
0.063 0.109 0.346
0.109 0.645 0.395
0.391 0.145 0.895
0.437 0.609 0.846
0.563 0.391 0.346
0.609 0.855 0.395
0.891 0.355 0.895
0.937 0.891 0.846
```

Properties
* symmetry: Pna2_1, No. 33
* DFT total energy: -12.815 eV/atom
* N(E_F): 4.85 states/eV/cell


[2]
Density functional theory data (meta-GGA SCAN) for a PBEsol-optimized structure of MnZnN3.

POSCAR file:
```
MnZnN3
1.0
3.800 0.000 0.000
0.000 3.800 0.000
0.000 0.000 3.800
Mn Zn N
1 1 3
direct
0.000 0.000 0.000
0.500 0.500 0.500
0.000 0.500 0.500
0.500 0.000 0.500
0.500 0.500 0.000
```

Properties
* symmetry: Pm-3m, No. 221
* DFT total energy: -10.434 eV/atom
* N(E_F): 1.23 states/eV/cell


[3]
Density functional theory data (meta-GGA SCAN) for a PBEsol-optimized structure of NaMn3Ni.

POSCAR file:
```
NaMn3Ni
1.0
4.477 0.000 0.000
0.000 4.477 0.000
0.000 0.000 4.477
Na Mn Ni
1 3 1
direct
0.000 0.000 0.000
0.000 0.000 0.500
0.000 0.500 0.000
0.500 0.000 0.000
0.500 0.500 0.500
```

Properties
* ΔE_f: 1.6793 eV per atom
* symmetry: Pm-3m, No. 221
* N(E_F): 5.41 states/eV/cell


[4]
Density functional theory data (meta-GGA SCAN) for a PBEsol-optimized structure of NaMn16O32.

POSCAR file:
```
NaMn16O32
1.0
9.700 0.000 0.000
0.000 9.700 0.000
0.000 0.000 5.670
Na Mn O
1 16 32
direct
0.000 0.000 0.000
0.151 0.333 0.251
0.151 0.333 0.749
0.168 0.651 0.000
0.169 0.652 0.500
0.333 0.849 0.251
0.333 0.849 0.749
0.348 0.169 0.500
0.349 0.168 0.000
0.651 0.832 0.000
0.652 0.831 0.500
0.667 0.151 0.251
0.667 0.151 0.749
0.831 0.348 0.500
0.832 0.349 0.000
0.849 0.667 0.251
0.849 0.667 0.749
0.042 0.667 0.250
0.042 0.667 0.750
0.153 0.200 0.000
0.154 0.202 0.500
0.164 0.458 0.000
0.164 0.458 0.500
0.200 0.847 0.000
0.202 0.846 0.500
0.298 0.656 0.250
0.298 0.656 0.750
0.333 0.042 0.250
0.333 0.042 0.750
0.344 0.298 0.250
0.344 0.298 0.750
0.458 0.836 0.000
0.458 0.836 0.500
0.542 0.164 0.000
0.542 0.164 0.500
0.656 0.702 0.250
0.656 0.702 0.750
0.667 0.958 0.250
0.667 0.958 0.750
0.702 0.344 0.250
0.702 0.344 0.750
0.798 0.154 0.500
0.800 0.153 0.000
0.836 0.542 0.000
0.836 0.542 0.500
0.846 0.798 0.500
0.847 0.800 0.000
0.958 0.333 0.250
0.958 0.333 0.750
```

Properties
* symmetry: P4/m, No. 83
* DFT total energy: -12.244 eV/atom
* N(E_F): 8.56 states/eV/cell


[5]
Density functional theory data (meta-GGA SCAN) for a PBEsol-optimized structure of NaMnO2.

POSCAR file:
```
NaMnO2
1.0
-2.967 2.967 4.831
2.967 -2.967 4.831
2.967 2.967 -4.831
Na Mn O
4 4 8
direct
0.000 0.000 0.000
0.000 0.000 0.500
0.000 0.500 0.000
0.500 0.000 0.500
0.000 0.500 0.500
0.500 0.000 0.000
0.500 0.500 0.000
0.500 0.500 0.500
0.251 0.291 0.540
0.251 0.711 0.960
0.289 0.749 0.540
0.291 0.251 0.040
0.709 0.749 0.960
0.711 0.251 0.460
0.749 0.289 0.040
0.749 0.709 0.460
```

Properties
* symmetry: I4_1/amd, No. 141
* energy relative to the lowest polymorph listed for this composition: 3.4 kJ per mole of atoms


[6]
Density functional theory data (meta-GGA SCAN) for a PBEsol-optimized structure of NaMn8O16.

POSCAR file:
```
NaMn8O16
1.0
9.623 0.000 0.000
0.000 5.659 0.000
-9.540 0.000 9.756
Na Mn O
2 16 32
direct
0.000 0.125 0.250
0.000 0.875 0.750
0.180 0.376 0.583
0.180 0.624 0.083
0.181 0.126 0.083
0.181 0.874 0.583
0.480 0.126 0.899
0.480 0.874 0.399
0.481 0.376 0.400
0.481 0.624 0.900
0.519 0.376 0.100
0.519 0.624 0.600
0.520 0.126 0.601
0.520 0.874 0.101
0.819 0.126 0.417
0.819 0.874 0.917
0.820 0.376 0.917
0.820 0.624 0.417
0.049 0.125 0.451
0.049 0.875 0.951
0.050 0.375 0.953
0.050 0.625 0.453
0.286 0.125 0.708
0.286 0.375 0.208
0.286 0.625 0.708
0.286 0.875 0.208
0.353 0.125 0.406
0.353 0.875 0.906
0.356 0.375 0.907
0.356 0.625 0.407
0.382 0.125 0.090
0.382 0.375 0.590
0.382 0.625 0.090
0.382 0.875 0.590
0.618 0.125 0.410
0.618 0.375 0.910
0.618 0.625 0.410
0.618 0.875 0.910
0.644 0.375 0.593
0.644 0.625 0.093
0.647 0.125 0.094
0.647 0.875 0.594
0.714 0.125 0.792
0.714 0.375 0.292
0.714 0.625 0.792
0.714 0.875 0.292
0.950 0.375 0.547
0.950 0.625 0.047
0.951 0.125 0.049
0.951 0.875 0.549
```

Properties
* symmetry: P2/c, No. 13
* DFT total energy: -12.153 eV/atom
* N(E_F): 12.28 states/eV/cell


[7]
Density functional theory data (meta-GGA SCAN) for a PBEsol-optimized structure of NaMn3O6.

POSCAR file:
```
NaMn3O6
1.0
-2.923 2.923 12.385
2.923 -2.923 12.385
2.923 2.923 -12.385
Na Mn O
4 12 24
direct
0.043 0.293 0.750
0.293 0.043 0.250
0.707 0.957 0.750
0.957 0.707 0.250
0.000 0.500 0.500
0.166 0.171 0.505
0.166 0.661 0.995
0.171 0.166 0.005
0.339 0.834 0.505
0.500 0.000 0.000
0.500 0.500 0.000
0.500 0.500 0.500
0.661 0.166 0.495
0.829 0.834 0.995
0.834 0.339 0.005
0.834 0.829 0.495
0.045 0.578 0.466
0.048 0.090 0.959
0.090 0.048 0.459
0.090 0.631 0.041
0.243 0.282 0.539
0.243 0.704 0.961
0.282 0.243 0.039
0.296 0.757 0.539
0.369 0.910 0.459
0.388 0.422 0.966
0.422 0.388 0.466
0.422 0.955 0.034
0.578 0.045 0.966
0.578 0.612 0.534
0.612 0.578 0.034
0.631 0.090 0.541
0.704 0.243 0.461
0.718 0.757 0.961
0.757 0.296 0.039
0.757 0.718 0.461
0.910 0.369 0.959
0.910 0.952 0.541
0.952 0.910 0.041
0.955 0.422 0.534
```

Properties
* symmetry: I4_1/amd, No. 141
* DFT total energy: -11.718 eV/atom
* N(E_F): 8.99 states/eV/cell


[8]
Density functional theory data (meta-GGA SCAN) for a PBEsol-optimized structure of NaMnO2.

POSCAR file:
```
NaMnO2
1.0
1.422 -2.842 0.000
1.422 2.842 0.000
0.000 0.000 10.743
Na Mn O
2 2 4
direct
0.202 0.798 0.750
0.798 0.202 0.250
0.500 0.500 0.000
0.500 0.500 0.500
0.119 0.881 0.102
0.119 0.881 0.398
0.881 0.119 0.602
0.881 0.119 0.898
```

Properties
* symmetry: Cmcm, No. 63
* N(E_F): 0.00 states/eV/cell
* energy relative to the lowest polymorph listed for this composition: 1.6 kJ per mole of atoms